one | The following is a DFT calculation (PBE) of a geometry-optimized SrScBr3 structure.

The calculated volume is 156 Å³/f.u.

The structure belongs to space group Pm-3m (No. 221); the cell edges are 5.383, 5.383 and 5.383 Å and the angles 90.00°, 90.00° and 90.00°. The distinct sites, in fractional coordinates, are Sr at (0.000, 0.000, 0.000), Sc at (0.500, 0.500, 0.500) and Br at (0.000, 0.500, 0.500).



two | The following is a DFT calculation (PBE) of a geometry-optimized SrScBr3 structure.

The calculated volume is 206 Å³/f.u.

The structure belongs to space group Pm-3m (No. 221); the cell edges are 5.902, 5.902 and 5.902 Å and the angles 90.00°, 90.00° and 90.00°. The distinct sites, in fractional coordinates, are Sr at (0.000, 0.000, 0.000), Sc at (0.500, 0.500, 0.500) and Br at (0.000, 0.000, 0.500).



Tell me which of them is the least stable. Sure, it is two.



one | The following is a DFT calculation (PBE) of a geometry-optimized Sr3ScBr structure.

The calculated volume is 268 Å³/f.u.

The structure belongs to space group Pm-3m (No. 221); the cell edges are 6.447, 6.447 and 6.447 Å and the angles 90.00°, 90.00° and 90.00°. The distinct sites, in fractional coordinates, are Sr at (0.000, 0.000, 0.500), Sc at (0.000, 0.000, 0.000) and Br at (0.500, 0.500, 0.500).



two | The following is a DFT calculation (PBE) of a geometry-optimized Sr3ScBr structure.

The calculated volume is 218 Å³/f.u.

The structure belongs to space group Pm-3m (No. 221); the cell edges are 6.015, 6.015 and 6.015 Å and the angles 90.00°, 90.00° and 90.00°. The distinct sites, in fractional coordinates, are Sr at (0.000, 0.000, 0.500), Sc at (0.500, 0.500, 0.500) and Br at (0.000, 0.000, 0.000).



Tell me which of them is the least stable. Sure, it is one.



one | The following is a DFT calculation (PBE) of a geometry-optimized SrSc3Br structure.

The calculated volume is 166 Å³/f.u.

The structure belongs to space group Pm-3m (No. 221); the cell edges are 5.491, 5.491 and 5.491 Å and the angles 90.00°, 90.00° and 90.00°. The distinct sites, in fractional coordinates, are Sr at (0.000, 0.000, 0.000), Sc at (0.000, 0.000, 0.500) and Br at (0.500, 0.500, 0.500).



two | The following is a DFT calculation (PBE) of a geometry-optimized SrSc3Br structure.

The calculated volume is 145 Å³/f.u.

The structure belongs to space group Pm-3m (No. 221); the cell edges are 5.256, 5.256 and 5.256 Å and the angles 90.00°, 90.00° and 90.00°. The distinct sites, in fractional coordinates, are Sr at (0.000, 0.000, 0.000), Sc at (0.000, 0.500, 0.500) and Br at (0.500, 0.500, 0.500).



Tell me which of them is the least stable. Sure, it is one.



one | The following is a DFT calculation (PBE) of a geometry-optimized ScTa2Br structure.

The calculated volume is 78 Å³/f.u.

The structure belongs to space group I-4m2 (No. 119); the cell edges are 4.418, 4.418 and 8.014 Å and the angles 90.00°, 90.00° and 90.00°. The distinct sites, in fractional coordinates, are Sc at (0.000, 0.000, 0.000), Ta at (0.000, 0.000, 0.500), Ta at (0.000, 0.500, 0.750) and Br at (0.000, 0.500, 0.250).



two | The following is a DFT calculation (PBE) of a geometry-optimized ScTa2Br structure.

The calculated volume is 83 Å³/f.u.

The structure belongs to space group I-42d (No. 122); the cell edges are 3.904, 3.904 and 21.783 Å and the angles 90.00°, 90.00° and 90.00°. The distinct sites, in fractional coordinates, are Sc at (0.000, 0.000, 0.000), Ta at (0.244, 0.250, 0.125) and Br at (0.000, 0.000, 0.500).



three | The following is a DFT calculation (PBE) of a geometry-optimized ScTa2Br structure.

The calculated volume is 78 Å³/f.u.

The structure belongs to space group P4/mmm (No. 123); the cell edges are 3.022, 3.022 and 8.558 Å and the angles 90.00°, 90.00° and 90.00°. The distinct sites, in fractional coordinates, are Sc at (0.000, 0.000, 0.000), Ta at (0.500, 0.500, 0.274) and Br at (0.000, 0.000, 0.500).



Tell me which of them is the least stable. Sure, it is one.



one | The following is a DFT calculation (PBE) of a geometry-optimized ScTa2Br structure.

The calculated volume is 80 Å³/f.u.

The structure belongs to space group Cm (No. 8); the cell edges are 9.795, 3.075 and 5.670 Å and the angles 90.00°, 110.06° and 90.00°. The distinct sites, in fractional coordinates, are Sc at (0.000, 0.000, 0.000), Ta at (0.070, 0.500, 0.524), Ta at (0.316, 0.500, 0.366) and Br at (0.256, 0.000, 0.927).



two | The following is a DFT calculation (PBE) of a geometry-optimized ScTa2Br structure.

The calculated volume is 78 Å³/f.u.

The structure belongs to space group Fm-3m (No. 225); the cell edges are 6.769, 6.769 and 6.769 Å and the angles 90.00°, 90.00° and 90.00°. The distinct sites, in fractional coordinates, are Sc at (0.000, 0.000, 0.000), Ta at (0.250, 0.250, 0.250) and Br at (0.000, 0.000, 0.500).



Tell me which of them is the least stable. Sure, it is two.



one | The following is a DFT calculation (PBE) of a geometry-optimized ScTcBr2 structure.

The calculated volume is 100 Å³/f.u.

The structure belongs to space group Imm2 (No. 44); the cell edges are 3.260, 3.968 and 15.474 Å and the angles 90.00°, 90.00° and 90.00°. The distinct sites, in fractional coordinates, are Sc at (0.000, 0.000, 0.000), Tc at (0.000, 0.500, 0.369), Br at (0.000, 0.000, 0.592) and Br at (0.000, 0.500, 0.832).



two | The following is a DFT calculation (PBE) of a geometry-optimized ScTcBr2 structure.

The calculated volume is 89 Å³/f.u.

The structure belongs to space group I-42d (No. 122); the cell edges are 4.598, 4.598 and 16.923 Å and the angles 90.00°, 90.00° and 90.00°. The distinct sites, in fractional coordinates, are Sc at (0.000, 0.000, 0.000), Tc at (0.000, 0.000, 0.500) and Br at (0.240, 0.250, 0.625).



Tell me which of them is the least stable. Sure, it is two.



one | The following is a DFT calculation (PBE) of a geometry-optimized ScTcBr2 structure.

The calculated volume is 111 Å³/f.u.

The structure belongs to space group C2/m (No. 12); the cell edges are 14.844, 3.388 and 4.411 Å and the angles 90.00°, 94.46° and 90.00°. The distinct sites, in fractional coordinates, are Sc at (0.000, 0.000, 0.000), Tc at (0.000, 0.500, 0.500) and Br at (0.141, 0.500, 0.211).



two | The following is a DFT calculation (PBE) of a geometry-optimized ScTcBr2 structure.

The calculated volume is 86 Å³/f.u.

The structure belongs to space group P2/m (No. 10); the cell edges are 3.933, 4.324 and 5.049 Å and the angles 90.00°, 90.78° and 90.00°. The distinct sites, in fractional coordinates, are Sc at (0.000, 0.000, 0.000), Tc at (0.500, 0.000, 0.500) and Br at (0.272, 0.500, 0.736).



three | The following is a DFT calculation (PBE) of a geometry-optimized ScTcBr2 structure.

The calculated volume is 108 Å³/f.u.

The structure belongs to space group Cm (No. 8); the cell edges are 11.371, 3.317 and 5.709 Å and the angles 90.00°, 90.89° and 90.00°. The distinct sites, in fractional coordinates, are Sc at (0.000, 0.000, 0.000), Tc at (0.114, 0.500, 0.739), Br at (0.244, 0.000, 0.955) and Br at (0.473, 0.000, 0.396).



Tell me which of them is the least stable. Sure, it is two.



one | The following is a DFT calculation (PBE) of a geometry-optimized ScTcBr2 structure.

The calculated volume is 88 Å³/f.u.

The structure belongs to space group Immm (No. 71); the cell edges are 3.261, 5.966 and 9.039 Å and the angles 90.00°, 90.00° and 90.00°. The distinct sites, in fractional coordinates, are Sc at (0.000, 0.000, 0.000), Tc at (0.000, 0.000, 0.500) and Br at (0.000, 0.500, 0.254).



two | The following is a DFT calculation (PBE) of a geometry-optimized ScTcBr2 structure.

The calculated volume is 91 Å³/f.u.

The structure belongs to space group Cmmm (No. 65); the cell edges are 3.335, 6.064 and 9.000 Å and the angles 90.00°, 90.00° and 90.00°. The distinct sites, in fractional coordinates, are Sc at (0.000, 0.000, 0.000), Tc at (0.000, 0.000, 0.500) and Br at (0.000, 0.500, 0.241).



Tell me which of them is the least stable. Sure, it is two.



one | The following is a DFT calculation (PBE) of a geometry-optimized ScTcBr structure.

The calculated volume is 62 Å³/f.u.

The structure belongs to space group Fmm2 (No. 42); the cell edges are 3.489, 5.158 and 13.821 Å and the angles 90.00°, 90.00° and 90.00°. The distinct sites, in fractional coordinates, are Sc at (0.000, 0.000, 0.000), Tc at (0.000, 0.000, 0.358) and Br at (0.000, 0.000, 0.648).



two | The following is a DFT calculation (PBE) of a geometry-optimized ScTcBr structure.

The calculated volume is 59 Å³/f.u.

The structure belongs to space group F-43m (No. 216); the cell edges are 6.193, 6.193 and 6.193 Å and the angles 90.00°, 90.00° and 90.00°. The distinct sites, in fractional coordinates, are Sc at (0.000, 0.000, 0.000), Tc at (0.250, 0.250, 0.250) and Br at (0.000, 0.000, 0.500).



Tell me which of them is the least stable. Sure, it is two.



one | The following is a DFT calculation (PBE) of a geometry-optimized ScTcBr structure.

The calculated volume is 54 Å³/f.u.

The structure belongs to space group P-6m2 (No. 187); the cell edges are 4.4023, 4.4023 and 3.2146 Å and the angles 90.00°, 90.00° and 120.00°. The distinct sites, in fractional coordinates, are Sc at (0.0000, 0.0000, 0.0000), Tc at (0.6667, 0.3333, 0.5000) and Br at (0.3333, 0.6667, 0.5000).



two | The following is a DFT calculation (PBE) of a geometry-optimized ScTcBr structure.

The calculated volume is 60 Å³/f.u.

The structure belongs to space group I4mm (No. 107); the cell edges are 3.156, 3.156 and 12.074 Å and the angles 90.00°, 90.00° and 90.00°. The distinct sites, in fractional coordinates, are Sc at (0.000, 0.000, 0.000), Tc at (0.000, 0.000, 0.354) and Br at (0.000, 0.000, 0.667).



three | The following is a DFT calculation (PBE) of a geometry-optimized ScTcBr structure.

The calculated volume is 63 Å³/f.u.

The structure belongs to space group P3m1 (No. 156); the cell edges are 3.2668, 3.2668 and 6.8070 Å and the angles 90.00°, 90.00° and 120.00°. The distinct sites, in fractional coordinates, are Sc at (0.0000, 0.0000, 0.0000), Tc at (0.6667, 0.3333, 0.2889) and Br at (0.3333, 0.6667, 0.7084).



four | The following is a DFT calculation (PBE) of a geometry-optimized ScTcBr structure.

The calculated volume is 65 Å³/f.u.

The structure belongs to space group F-43m (No. 216); the cell edges are 6.390, 6.390 and 6.390 Å and the angles 90.00°, 90.00° and 90.00°. The distinct sites, in fractional coordinates, are Sc at (0.000, 0.000, 0.000), Tc at (0.250, 0.250, 0.250) and Br at (0.250, 0.250, 0.750).



Tell me which of them is the least stable. Sure, it is four.



one | The following is a DFT calculation (PBE) of a geometry-optimized Sc2TcBr structure.

The calculated volume is 82 Å³/f.u.

The structure belongs to space group Cmmm (No. 65); the cell edges are 4.446, 4.913 and 7.550 Å and the angles 90.00°, 90.00° and 90.00°. The distinct sites, in fractional coordinates, are Sc at (0.000, 0.000, 0.201), Tc at (0.000, 0.500, 0.000) and Br at (0.000, 0.500, 0.500).



two | The following is a DFT calculation (PBE) of a geometry-optimized Sc2TcBr structure.

The calculated volume is 89 Å³/f.u.

The structure belongs to space group Cmm2 (No. 35); the cell edges are 3.509, 5.253 and 9.633 Å and the angles 90.00°, 90.00° and 90.00°. The distinct sites, in fractional coordinates, are Sc at (0.000, 0.000, 0.000), Sc at (0.000, 0.500, 0.278), Tc at (0.000, 0.500, 0.807) and Br at (0.000, 0.000, 0.482).



three | The following is a DFT calculation (PBE) of a geometry-optimized Sc2TcBr structure.

The calculated volume is 81 Å³/f.u.

The structure belongs to space group R-3m (No. 166, hexagonal axes); the cell edges are 3.3983, 3.3983 and 24.3899 Å and the angles 90.00°, 90.00° and 120.00°. The distinct sites, in fractional coordinates, are Sc at (0.0000, 0.0000, 0.2422), Tc at (0.0000, 0.0000, 0.5000) and Br at (0.0000, 0.0000, 0.0000).



Tell me which of them is the least stable. Sure, it is two.